Below is a relaxed Fe2IrAu crystal, with properties calculated at the PBE-GGA level.

Unit cell a=2.763 b=3.656 c=5.679 alpha=90.00 beta=90.00 gamma=90.00
Each line ends with the local moment (μB).
Element x y z (fractional)
Au 0.500 0.500 0.762  0.05
Fe 0.500 0.500 0.256  2.53
Fe 0.000 0.000 0.020  2.89
Ir 0.000 0.000 0.461  0.33

Values from the calculation:
SG: Pmm2, No. 25
E_tot, hartree per atom: -0.262
Energy above the most stable polymorph in this dataset, meV per atom: 69
Formation enthalpy at 0 K, eV/atom: 0.143
Volume, A^3/atom: 14.3


Below is a relaxed Fe2IrAuN crystal, with properties calculated at the PBE-GGA level.

Unit cell a=3.940 b=3.940 c=4.063 alpha=90.00 beta=90.00 gamma=90.00
Each line ends with the local moment (μB).
Element x y z (fractional)
N 0.000 0.000 0.000  -0.05
Fe 0.000 0.500 0.000  2.50
Fe 0.500 0.000 0.000  2.50
Au 0.500 0.500 0.500  0.06
Ir 0.000 0.000 0.500  0.15

Values from the calculation:
SG: P4/mmm, No. 123
E_tot, hartree per atom: -0.270
Volume, A^3/atom: 12.6
Uncorrected formation energy, meV/atom: 141.2